(1)
Density functional theory data (GGA-PBE) for a relaxed KMgAl2 crystal.

Cell: 4.558 4.558 4.871 Å, 90.00 90.00 90.00°
Element x y z (fractional)
Mg 0.000 0.500 0.500
K 0.500 0.000 0.500
Al 0.000 0.000 0.000
Al 0.500 0.500 0.000

## Properties
Formation energy: 426 meV/atom

***

(2)
Density functional theory data (GGA-PBE) for a relaxed K2MgAl crystal.

Cell: 8.552 8.552 8.552 Å, 34.24 34.24 34.24°
Element x y z (fractional)
Al 0.792 0.792 0.792
Mg 0.458 0.458 0.458
K 0.219 0.219 0.219
K 0.031 0.031 0.031

## Properties
Formation energy: 199 meV/atom

***

(3)
Density functional theory data (GGA-PBE) for a relaxed K2MgAl crystal.

Cell: 6.775 6.775 6.775 Å, 137.12 137.17 62.21°
Element x y z (fractional)
K 0.000 0.000 0.000
K 0.500 0.500 0.000
Al 0.250 0.750 0.500
Mg 0.750 0.250 0.500

## Properties
Formation energy: 375 meV/atom